A plane-wave DFT calculation with PBE was carried out for YSnPH2 after structural relaxation.

For the raw total energy, the calculation gives -4.56 eV/atom. The density of states at the Fermi level is 0.55 states/eV/atom.

It has space group P4/mmm (No. 123), with a = 3.888 Å, b = 3.888 Å, c = 6.689 Å, α = 90.00°, β = 90.00° and γ = 90.00°. The distinct sites, in fractional coordinates, are Y at (0.000, 0.000, 0.000), Sn at (0.000, 0.000, 0.500), P at (0.500, 0.500, 0.000) and H at (0.000, 0.500, 0.500).


A plane-wave DFT calculation with PBE was carried out for CdHg2H after structural relaxation.

For the raw total energy, the calculation gives -0.75 eV/atom. The density of states at the Fermi level is 0.34 states/eV/atom.

It has space group Fm-3m (No. 225), with a = 6.954 Å, b = 6.954 Å, c = 6.954 Å, α = 90.00°, β = 90.00° and γ = 90.00°. The distinct sites, in fractional coordinates, are Cd at (0.000, 0.000, 0.000), Hg at (0.250, 0.250, 0.250) and H at (0.000, 0.000, 0.500).


A plane-wave DFT calculation with PBE was carried out for RbZrTl after structural relaxation.

The energy of formation from the pure elements is 376.0 meV per atom. The density of states at the Fermi level is 0.80 states/eV/atom.

It has space group Pnma (No. 62), with a = 14.533 Å, b = 5.856 Å, c = 5.471 Å, α = 90.00°, β = 90.00° and γ = 90.00°. The distinct sites, in fractional coordinates, are Rb at (0.236, 0.250, 0.008), Zr at (0.003, 0.250, 0.500) and Tl at (0.000, 0.000, 0.000).


Repeat the third record exactly.
A plane-wave DFT calculation with PBE was carried out for RbZrTl after structural relaxation.

The energy of formation from the pure elements is 376.0 meV per atom. The density of states at the Fermi level is 0.80 states/eV/atom.

It has space group Pnma (No. 62), with a = 14.533 Å, b = 5.856 Å, c = 5.471 Å, α = 90.00°, β = 90.00° and γ = 90.00°. The distinct sites, in fractional coordinates, are Rb at (0.236, 0.250, 0.008), Zr at (0.003, 0.250, 0.500) and Tl at (0.000, 0.000, 0.000).


What did the second record say?
A plane-wave DFT calculation with PBE was carried out for CdHg2H after structural relaxation.

For the raw total energy, the calculation gives -0.75 eV/atom. The density of states at the Fermi level is 0.34 states/eV/atom.

It has space group Fm-3m (No. 225), with a = 6.954 Å, b = 6.954 Å, c = 6.954 Å, α = 90.00°, β = 90.00° and γ = 90.00°. The distinct sites, in fractional coordinates, are Cd at (0.000, 0.000, 0.000), Hg at (0.250, 0.250, 0.250) and H at (0.000, 0.000, 0.500).


Repeat the first record exactly.
A plane-wave DFT calculation with PBE was carried out for YSnPH2 after structural relaxation.

For the raw total energy, the calculation gives -4.56 eV/atom. The density of states at the Fermi level is 0.55 states/eV/atom.

It has space group P4/mmm (No. 123), with a = 3.888 Å, b = 3.888 Å, c = 6.689 Å, α = 90.00°, β = 90.00° and γ = 90.00°. The distinct sites, in fractional coordinates, are Y at (0.000, 0.000, 0.000), Sn at (0.000, 0.000, 0.500), P at (0.500, 0.500, 0.000) and H at (0.000, 0.500, 0.500).


Please write out number 1 again, unchanged.
A plane-wave DFT calculation with PBE was carried out for YSnPH2 after structural relaxation.

For the raw total energy, the calculation gives -4.56 eV/atom. The density of states at the Fermi level is 0.55 states/eV/atom.

It has space group P4/mmm (No. 123), with a = 3.888 Å, b = 3.888 Å, c = 6.689 Å, α = 90.00°, β = 90.00° and γ = 90.00°. The distinct sites, in fractional coordinates, are Y at (0.000, 0.000, 0.000), Sn at (0.000, 0.000, 0.500), P at (0.500, 0.500, 0.000) and H at (0.000, 0.500, 0.500).